1.
DFT (PBE-GGA) results for crystalline Ho2OsCl at its relaxed geometry.

abc: 3.3362 3.3362 7.9766
angles: 90.00 90.00 90.00
Last column: nearest neighbours and their distance in Å.
Space group P4/mmm (No. 123)
Asymmetric unit:
Ho 0.0000 0.0000 0.2108 (multiplicity 2)  4 Os 2.90
Os 0.5000 0.5000 0.0000 (multiplicity 1)  8 Ho 2.90
Cl 0.5000 0.5000 0.5000 (multiplicity 1)  8 Ho 3.30, 4 Cl 3.34

DOS(E_F)	1.39	states/eV/f.u.
energy relative to the elements, uncorrected	-80.6	kJ per mole of atoms
electronic total energy	-6.393	eV/atom

=====

2.
DFT (PBE-GGA) results for crystalline HoOsCl at its relaxed geometry.

abc: 6.8283 3.9409 11.9861
angles: 90.00 100.05 90.00
Last column: nearest neighbours and their distance in Å.
Space group C2/m (No. 12)
Asymmetric unit:
Ho 0.1022 0.0000 0.2887 (multiplicity 4)  3 Cl 2.80, 4 Os 2.89-3.09
Os 0.1770 0.0000 0.5339 (multiplicity 4)  3 Os 2.41
Cl 0.1070 0.5000 0.8498 (multiplicity 4)  3 Ho 2.80

DOS(E_F)	0.65	states/eV/f.u.
energy relative to the elements, uncorrected	-91.0	kJ per mole of atoms
electronic total energy	-6.828	eV/atom

=====

3.
DFT (PBE-GGA) results for crystalline Ho3PCl7 at its relaxed geometry.

abc: 8.1227 8.1227 6.5189
angles: 90.00 90.00 120.00
Last column: nearest neighbours and their distance in Å.
Space group P3m1 (No. 156)
Asymmetric unit:
Ho 0.0062 0.5031 0.0000 (multiplicity 3)  5 Cl 2.64-2.83, 1 P 2.71
P 0.3333 0.6667 0.7802 (multiplicity 1)  3 Ho 2.71
Cl 0.1814 0.3627 0.2254 (multiplicity 3)  2 Ho 2.67
Cl 0.3576 0.1788 0.7970 (multiplicity 3)  2 Ho 2.64
Cl 0.6667 0.3333 0.2330 (multiplicity 1)  3 Ho 2.83

energy relative to the elements, uncorrected	-185.8	kJ per mole of atoms
electronic total energy	-4.841	eV/atom

=====

4.
DFT (PBE-GGA) results for crystalline Ho4P3Cl at its relaxed geometry.

abc: 7.9888 11.2420 3.9704
angles: 90.00 90.00 90.00
Last column: nearest neighbours and their distance in Å.
Space group Cmmm (No. 65)
Asymmetric unit:
Ho 0.0000 0.2412 0.0000 (multiplicity 4)  5 P 2.71-2.82, 1 Cl 2.91
Ho 0.2293 0.0000 0.5000 (multiplicity 4)  4 P 2.70-2.82, 2 Cl 2.94
P 0.0000 0.0000 0.0000 (multiplicity 2)  6 Ho 2.70-2.71
P 0.2500 0.2500 0.5000 (multiplicity 4)  6 Ho 2.82
Cl 0.0000 0.5000 0.0000 (multiplicity 2)  6 Ho 2.91-2.94

DOS(E_F)	2.30	states/eV/f.u.
energy relative to the elements, uncorrected	-156.1	kJ per mole of atoms
electronic total energy	-6.166	eV/atom

=====

5.
DFT (PBE-GGA) results for crystalline Ho2PCl2 at its relaxed geometry.

abc: 3.9244 3.9244 35.6732
angles: 90.00 90.00 120.00
Last column: nearest neighbours and their distance in Å.
Space group R-3m (No. 166, hexagonal axes)
Asymmetric unit:
Ho 0.0000 0.0000 0.1238 (multiplicity 6)  3 P 2.73, 3 Cl 2.80
P 0.0000 0.0000 0.5000 (multiplicity 3)  6 Ho 2.73
Cl 0.0000 0.0000 0.2554 (multiplicity 6)  3 Ho 2.80

DOS(E_F)	1.45	states/eV/f.u.
energy relative to the elements, uncorrected	-188.6	kJ per mole of atoms
electronic total energy	-5.606	eV/atom

=====

6.
DFT (PBE-GGA) results for crystalline Ho5P4Cl at its relaxed geometry.

abc: 13.2288 3.9815 9.8019
angles: 90.00 119.72 90.00
Last column: nearest neighbours and their distance in Å.
Space group C2/m (No. 12)
Asymmetric unit:
Ho 0.0000 0.0000 0.0000 (multiplicity 2)  6 P 2.83-2.86
Ho 0.1104 0.5000 0.3874 (multiplicity 4)  4 P 2.71-2.80, 2 Cl 2.99
Ho 0.2076 0.0000 0.8169 (multiplicity 4)  5 P 2.74-2.81, 1 Cl 2.96
P 0.0957 0.5000 0.8925 (multiplicity 4)  6 Ho 2.74-2.83
P 0.2066 0.0000 0.3009 (multiplicity 4)  6 Ho 2.71-2.86
Cl 0.0000 0.0000 0.5000 (multiplicity 2)  6 Ho 2.96-2.99

DOS(E_F)	3.06	states/eV/f.u.
energy relative to the elements, uncorrected	-157.9	kJ per mole of atoms
electronic total energy	-6.274	eV/atom

=====

7.
DFT (PBE-GGA) results for crystalline Ho2PCl at its relaxed geometry.

abc: 3.9222 3.9222 20.7567
angles: 90.00 90.00 120.00
Last column: nearest neighbours and their distance in Å.
Space group R3m (No. 160, hexagonal axes)
Asymmetric unit:
Ho 0.0000 0.0000 0.0000 (multiplicity 3)  3 P 2.70
Ho 0.0000 0.0000 0.1950 (multiplicity 3)  3 P 2.66
P 0.0000 0.0000 0.5956 (multiplicity 3)  6 Ho 2.66-2.70
Cl 0.0000 0.0000 0.7662 (multiplicity 3)  6 Ho 3.01-3.06

DOS(E_F)	1.02	states/eV/f.u.
energy relative to the elements, uncorrected	-144.0	kJ per mole of atoms
electronic total energy	-5.595	eV/atom

=====

8.
DFT (PBE-GGA) results for crystalline HoPS4Cl at its relaxed geometry.

abc: 10.4425 8.7188 8.8968
angles: 90.00 97.87 90.00
Last column: nearest neighbours and their distance in Å.
Space group C2/m (No. 12)
Asymmetric unit:
Ho 0.1906 0.0000 0.0577 (multiplicity 4)  2 Cl 2.62-2.66, 5 S 2.72-2.88
P 0.1096 0.5000 0.2420 (multiplicity 4)  4 S 2.00-2.09
S 0.0783 0.5000 0.7239 (multiplicity 4)  1 P 2.03
S 0.1705 0.3214 0.1115 (multiplicity 8)  1 P 2.09
S 0.1960 0.5000 0.4564 (multiplicity 4)  1 P 2.00
Cl 0.0179 0.0000 0.8085 (multiplicity 4)  2 Ho 2.62-2.66

DOS(E_F)	2.02	states/eV/f.u.
energy relative to the elements, uncorrected	-79.4	kJ per mole of atoms
electronic total energy	-4.872	eV/atom